Material: Ba2TlH
Method: DFT, GGA-PBE
State: relaxed

Values from the calculation:
- V (Å³/cell) = 127.31
- total energy (eV per atom) = -2.584

abc: 3.8613 3.8613 8.5387
angles: 90.00 90.00 90.00
Last column: nearest neighbours and their distance in Å.
Positions (direct):
1 Ba 0.0000 0.0000 0.2236  4 H 3.33, 4 Tl 3.61
2 Ba 0.0000 0.0000 0.7764  4 H 3.33, 4 Tl 3.61
3 Tl 0.5000 0.5000 0.5000  8 Ba 3.61, 4 Tl 3.86
4 H 0.5000 0.5000 0.0000  8 Ba 3.33